Computed, not measured: an optimized crystal structure of InOsPt2 at the PBE-GGA level of DFT.

POSCAR file:
```
InOsPt2
1.0
3.9910 0.0000 0.0000
0.0000 2.8290 0.0037
0.0000 2.8147 5.8049
Os Pt In
1 2 1
Cartesian
1.9955 4.2328 4.3564
0.0000 2.8203 3.0004
0.0000 2.8163 5.7088
1.9955 1.4109 1.4521
```

Results
The total energy comes out at -6.439 eV per atom. The polymorph energy (0 for the lowest one) comes out at 22 meV/atom. The calculation puts the formation energy at 7 kJ/mol of atoms. As for the space-group type: Pmmm (47).